No. 1
VASP calculation (PBE) on an optimized crystal structure of Pm3Cd2In4.

total magnetic moment: 0.0 μB per cell
DOS(E_F): 6.30 states/eV/cell
density: 7.80 g/cm3
formation enthalpy at 0 K: -4.02 eV/f.u.
calculated total energy: -3.45 eV/atom
space group: C2/m, No. 12

Lattice parameters (Å, degrees): 4.9594 6.2094 9.3855 113.69 90.00 113.54
Closest atoms and distances in Å follow each position.
Sites, in units of the cell vectors:
Pm: 0.6655 0.3309 0.6666  8 In 3.39-3.46, 4 Cd 3.39-3.43, 2 Pm 3.69-3.72
Pm: 0.0000 0.0000 0.0000  8 In 3.39-3.44, 4 Cd 3.45, 2 Pm 3.72
Pm: 0.3345 0.6691 0.3334  8 In 3.39-3.46, 4 Cd 3.39-3.43, 2 Pm 3.69-3.72
Cd: 0.6148 0.2296 0.2830  3 In 2.85
Cd: 0.3852 0.7704 0.7170  3 In 2.85
In: 0.7229 0.4458 0.0605  1 Cd 2.85, 2 In 2.90
In: 0.2771 0.5542 0.9395  1 Cd 2.85, 2 In 2.90
In: 0.9460 0.8920 0.6149  2 Cd 2.85, 1 In 2.91
In: 0.0540 0.1080 0.3851  2 Cd 2.85, 1 In 2.91

No. 2
VASP calculation (PBE) on an optimized crystal structure of SrSiH.

total magnetic moment: 0.0 μB per cell
ΔE to the lowest computed polymorph: 0.034 eV/atom
DOS(E_F): 1.93 states/eV/cell
density: 3.26 g/cm3
calculated total energy: -3.89 eV/atom
space group: Cmcm, No. 63

Lattice parameters (Å, degrees): 3.9789 4.4126 7.1213 108.05 90.00 90.00
Closest atoms and distances in Å follow each position.
Sites, in units of the cell vectors:
Sr: 0.2500 0.6561 0.3122  4 H 2.41-2.50
Sr: 0.7500 0.3439 0.6878  4 H 2.41-2.50
Si: 0.2500 0.9540 0.9079  2 Si 2.35
Si: 0.7500 0.0460 0.0921  2 Si 2.35
H: 0.2500 0.2433 0.4865  4 Sr 2.41-2.50
H: 0.7500 0.7567 0.5135  4 Sr 2.41-2.50

No. 3
VASP calculation (PBE) on an optimized crystal structure of HfCd3Sn.

total magnetic moment: 0.0 μB per cell
ΔE to the lowest computed polymorph: 0.111 eV/atom
DOS(E_F): 2.85 states/eV/cell
density: 6.91 g/cm3
formation enthalpy at 0 K: 4.98 eV/f.u.
calculated total energy: -2.34 eV/atom
space group: Pm-3m, No. 221

Lattice parameters (Å, degrees): 5.3424 5.3424 5.3424 90.00 90.00 90.00
Closest atoms and distances in Å follow each position.
Sites, in units of the cell vectors:
Hf: 0.5000 0.5000 0.5000  12 Cd 3.78
Sn: 0.0000 0.0000 0.0000  6 Cd 2.67
Cd: 0.0000 0.5000 0.0000  2 Sn 2.67
Cd: 0.0000 0.0000 0.5000  2 Sn 2.67
Cd: 0.5000 0.0000 0.0000  2 Sn 2.67

No. 4
VASP calculation (PBE) on an optimized crystal structure of SrMnAs.

total magnetic moment: 4.1 μB per cell
DOS(E_F): 2.18 states/eV/cell
density: 4.59 g/cm3
formation enthalpy at 0 K: -0.58 eV/f.u.
calculated total energy: -5.36 eV/atom
space group: F-43m, No. 216

Lattice parameters (Å, degrees): 4.8112 4.8112 4.8112 60.00 60.00 60.00
Closest atoms and distances in Å follow each position.
Sites, in units of the cell vectors:
As: 0.7500 0.7500 0.7500  4 Sr 2.95, 4 Mn 2.95
Mn: 0.0000 0.0000 0.0000  4 As 2.95
Sr: 0.5000 0.5000 0.5000  4 As 2.95

No. 5
VASP calculation (PBE) on an optimized crystal structure of AcNdBi2O8.

total magnetic moment: 0.0 μB per cell
density: 8.13 g/cm3
calculated total energy: -6.62 eV/atom
ΔE_f (raw): -1.927 eV/atom
space group: I-4, No. 82

Lattice parameters (Å, degrees): 5.6188 5.6188 7.1384 113.18 113.18 90.00
Closest atoms and distances in Å follow each position.
Sites, in units of the cell vectors:
Ac: 0.7500 0.2500 0.5000  8 O 2.54-2.61
Nd: 0.0000 0.0000 0.0000  8 O 2.47-2.52
Bi: 0.5000 0.5000 0.0000  4 O 2.06
Bi: 0.2500 0.7500 0.5000  4 O 2.07
O: 0.7850 0.8365 0.1799  1 Bi 2.06
O: 0.3949 0.3434 0.1799  1 Bi 2.06
O: 0.5964 0.6663 0.6893  1 Bi 2.07
O: 0.0929 0.0230 0.6893  1 Bi 2.07
O: 0.9770 0.4036 0.3107  1 Bi 2.07
O: 0.3337 0.9071 0.3107  1 Bi 2.07
O: 0.1635 0.6051 0.8201  1 Bi 2.06
O: 0.6566 0.2150 0.8201  1 Bi 2.06

No. 6
VASP calculation (PBE) on an optimized crystal structure of K2CdRh.

total magnetic moment: 0.7 μB per cell
DOS(E_F): 4.37 states/eV/cell
density: 4.33 g/cm3
formation enthalpy at 0 K: 2.00 eV/f.u.
calculated total energy: -2.12 eV/atom
space group: P4/mmm, No. 123

Lattice parameters (Å, degrees): 3.2208 3.2208 10.8391 90.00 90.00 90.00
Closest atoms and distances in Å follow each position.
Sites, in units of the cell vectors:
Cd: 0.5000 0.5000 0.7500  4 Cd 3.22
K: 0.0000 0.0000 0.0351  4 K 3.22, 4 Rh 3.26
K: 0.0000 0.0000 0.4649  4 K 3.22, 4 Rh 3.26
Rh: 0.5000 0.5000 0.2500  4 Rh 3.22, 8 K 3.26

No. 7
VASP calculation (PBE) on an optimized crystal structure of Ge8TeS6.

total magnetic moment: 0.0 μB per cell
DOS(E_F): 5.54 states/eV/cell
density: 4.22 g/cm3
calculated total energy: -4.38 eV/atom
ΔE_f (raw): -0.055 eV/atom
space group: R-3, No. 148

Lattice parameters (Å, degrees): 7.1258 7.1258 7.1258 82.99 82.99 82.99
Closest atoms and distances in Å follow each position.
Sites, in units of the cell vectors:
Ge: 0.2772 0.2772 0.2772  3 S 2.44
Ge: 0.7228 0.7228 0.7228  3 S 2.44
Ge: 0.0912 0.3783 0.8411  2 S 2.41-2.50
Ge: 0.8411 0.0912 0.3783  2 S 2.41-2.50
Ge: 0.3783 0.8411 0.0912  2 S 2.41-2.50
Ge: 0.9088 0.6217 0.1589  2 S 2.41-2.50
Ge: 0.1589 0.9088 0.6217  2 S 2.41-2.50
Ge: 0.6217 0.1589 0.9088  2 S 2.41-2.50
Te: 0.0000 0.0000 0.0000  6 Ge 2.91
S: 0.6140 0.3135 0.1930  3 Ge 2.41-2.50
S: 0.1930 0.6140 0.3135  3 Ge 2.41-2.50
S: 0.3135 0.1930 0.6140  3 Ge 2.41-2.50
S: 0.3860 0.6865 0.8070  3 Ge 2.41-2.50
S: 0.8070 0.3860 0.6865  3 Ge 2.41-2.50
S: 0.6865 0.8070 0.3860  3 Ge 2.41-2.50

No. 8
VASP calculation (PBE) on an optimized crystal structure of MnVZnGe2.

total magnetic moment: 4.9 μB per cell
ΔE to the lowest computed polymorph: 0.000 eV/atom
DOS(E_F): 7.58 states/eV/cell
density: 4.90 g/cm3
formation enthalpy at 0 K: 5.70 eV/f.u.
calculated total energy: -4.62 eV/atom
space group: P4/mmm, No. 123

Lattice parameters (Å, degrees): 4.7201 4.8112 4.7201 90.00 90.00 90.00
Closest atoms and distances in Å follow each position.
Sites, in units of the cell vectors:
Ge: 0.0000 0.0000 0.5000  2 Zn 2.36
Ge: 0.5000 0.0000 0.0000  2 Zn 2.36
Mn: 0.5000 0.5000 0.5000  4 V 3.34, 8 Ge 3.37
Zn: 0.0000 0.0000 0.0000  4 Ge 2.36, 2 V 2.41
V: 0.0000 0.5000 0.0000  2 Zn 2.41

Question: Look up the density of the second one.
Answer: 3.26 g/cm3

Question: What is the formula in the seventh record?
Answer: Ge8TeS6

Question: The highest total magnetic moment belongs to which entry?
Answer: MnVZnGe2